Entry 1:
Compound: Na2UTiN4
Source: the Alexandria database
Functional: PBE
Structure: relaxed

Cell: 5.5438 3.3641 5.9146 Å, 90.00 107.28 90.00°
Positions (direct):
Na  0.0000  0.0000  0.0000
Na  0.5000  0.5000  0.0000
U  0.0000  0.5000  0.5000
Ti  0.5000  0.0000  0.5000
N  0.2378  0.0000  0.6873
N  0.2721  0.5000  0.3159
N  0.7279  0.5000  0.6841
N  0.7622  0.0000  0.3127

Computed properties:
Space-group type: P2/m, No. 10
DFT total energy: -7.901 eV/atom

=====

Entry 2:
Compound: Be2Ru
Source: the Alexandria database
Functional: PBE
Structure: relaxed

Cell: 4.3407 4.3407 4.3407 Å, 60.00 60.00 60.00°
Positions (direct):
Be  0.0000  0.0000  0.0000
Be  0.0000  0.0000  0.5000
Be  0.0000  0.5000  0.0000
Be  0.5000  0.0000  0.0000
Ru  0.3750  0.3750  0.3750
Ru  0.6250  0.6250  0.6250

Computed properties:
E above lowest polymorph: 0 meV per atom
Space-group type: Fd-3m, No. 227
ΔH_f (0 K): -0.348 eV/atom
D(E_F): 2.225 states/eV/f.u.

=====

Entry 3:
Compound: Ca2SiAsIr
Source: the Alexandria database
Functional: PBE
Structure: relaxed

Cell: 5.4045 5.4045 4.5259 Å, 90.00 90.00 90.00°
Positions (direct):
Ca  0.0000  0.5000  0.0000
Ca  0.5000  0.0000  0.0000
Si  0.0000  0.0000  0.5000
As  0.0000  0.0000  0.0000
Ir  0.5000  0.5000  0.5000

Computed properties:
Space-group type: P4/mmm, No. 123
DFT total energy: -4.179 eV/atom
D(E_F): 2.255 states/eV/f.u.

=====

Entry 4:
Compound: Bi2Sb2Br
Source: the Alexandria database
Functional: PBE
Structure: relaxed

Cell: 7.8613 7.8613 7.8613 Å, 142.16 142.16 54.59°
Positions (direct):
Bi  0.1267  0.1267  0.0000
Bi  0.8733  0.8733  0.0000
Sb  0.2500  0.7500  0.5000
Sb  0.7500  0.2500  0.5000
Br  0.5000  0.5000  0.0000

Computed properties:
E above lowest polymorph: 79 meV per atom
Space-group type: I4/mmm, No. 139
D(E_F): 1.993 states/eV/f.u.

=====

Entry 5:
Compound: K2SrH6Os
Source: the Alexandria database
Functional: PBE
Structure: relaxed

Cell: 6.0357 6.0357 5.9894 Å, 90.00 90.00 120.00°
Positions (direct):
K  0.3333  0.6667  0.1004
K  0.6667  0.3333  0.8996
Sr  0.0000  0.0000  0.5000
H  0.1376  0.2753  0.8335
H  0.1376  0.8624  0.8335
H  0.2753  0.1376  0.1665
H  0.7247  0.8624  0.8335
H  0.8624  0.1376  0.1665
H  0.8624  0.7247  0.1665
Os  0.0000  0.0000  0.0000

Computed properties:
Space-group type: P-3m1, No. 164
DFT total energy: -3.809 eV/atom
D(E_F): 0.473 states/eV/f.u.

=====

Entry 6:
Compound: HoEr4Cu2
Source: the Alexandria database
Functional: PBE
Structure: relaxed

Cell: 10.0602 10.0602 10.0602 Å, 27.60 27.60 27.60°
Positions (direct):
Ho  0.0000  0.0000  0.0000
Er  0.2005  0.2005  0.2005
Er  0.4015  0.4015  0.4015
Er  0.5985  0.5985  0.5985
Er  0.7995  0.7995  0.7995
Cu  0.1006  0.1006  0.1006
Cu  0.8994  0.8994  0.8994

Computed properties:
Space-group type: R-3m, No. 166
ΔH_f (0 K): 0.149 eV/atom
D(E_F): 8.822 states/eV/f.u.

=====

Entry 7:
Compound: Sn2Pd7Pb2
Source: the Alexandria database
Functional: PBE
Structure: relaxed

Cell: 6.4322 6.4322 5.7153 Å, 90.00 90.00 94.99°
Positions (direct):
Sn  0.2230  0.7770  0.0000
Sn  0.7770  0.2230  0.0000
Pd  0.0000  0.0000  0.2687
Pd  0.0000  0.0000  0.7313
Pd  0.0000  0.5000  0.2557
Pd  0.0000  0.5000  0.7443
Pd  0.5000  0.0000  0.2557
Pd  0.5000  0.0000  0.7443
Pd  0.5000  0.5000  0.0000
Pb  0.3058  0.3058  0.5000
Pb  0.6942  0.6942  0.5000

Computed properties:
Space-group type: Cmmm, No. 65
ΔH_f (0 K): -0.174 eV/atom
D(E_F): 4.970 states/eV/f.u.

=====

Entry 8:
Compound: ThGaIr
Source: the Alexandria database
Functional: PBE
Structure: relaxed

Cell: 4.4599 4.4599 3.7207 Å, 90.00 90.00 120.00°
Positions (direct):
Th  0.0000  0.0000  0.0000
Ga  0.3333  0.6667  0.5000
Ir  0.6667  0.3333  0.5000

Computed properties:
Space-group type: P-6m2, No. 187
ΔH_f (0 K): -0.780 eV/atom
D(E_F): 2.706 states/eV/f.u.

=====

Entry 9:
Compound: Ac2Nd5DyY
Source: the Alexandria database
Functional: PBE
Structure: relaxed

Cell: 10.8455 10.8455 10.9522 Å, 90.00 90.00 148.78°
Positions (direct):
Ac  0.1130  0.8870  0.5000
Ac  0.1169  0.8831  0.0815
Ac  0.8831  0.1169  0.5815
Ac  0.8870  0.1130  0.0000
Nd  0.0179  0.9821  0.7865
Nd  0.2803  0.7197  0.0765
Nd  0.2939  0.7061  0.4681
Nd  0.3867  0.6133  0.7873
Nd  0.4840  0.5160  0.5102
Nd  0.5160  0.4840  0.0102
Nd  0.6133  0.3867  0.2873
Nd  0.7061  0.2939  0.9681
Nd  0.7197  0.2803  0.5765
Nd  0.9821  0.0179  0.2865
Dy  0.2052  0.7948  0.7752
Dy  0.7948  0.2052  0.2752
Y  0.4061  0.5939  0.2349
Y  0.5939  0.4061  0.7349

Computed properties:
Space-group type: Cmc2_1, No. 36
ΔH_f (0 K): 0.135 eV/atom
D(E_F): 12.788 states/eV/f.u.

=====

Entry 10:
Compound: Mg2CuSe2
Source: the Alexandria database
Functional: PBE
Structure: relaxed

Cell: 5.3762 5.3762 7.7672 Å, 90.00 90.00 92.78°
Positions (direct):
Mg  0.2274  0.7726  0.5275
Mg  0.2274  0.7726  0.9725
Mg  0.7726  0.2274  0.0275
Mg  0.7726  0.2274  0.4725
Cu  0.4964  0.5036  0.7500
Cu  0.5036  0.4964  0.2500
Se  0.2648  0.2648  0.0000
Se  0.2648  0.2648  0.5000
Se  0.7352  0.7352  0.0000
Se  0.7352  0.7352  0.5000

Computed properties:
E above lowest polymorph: 228 meV per atom
Space-group type: Cmcm, No. 63
D(E_F): 1.948 states/eV/f.u.

=====

Entry 11:
Compound: CrPbS2N
Source: the Alexandria database
Functional: PBE
Structure: relaxed

Cell: 5.1845 5.1845 4.2452 Å, 90.00 90.00 90.00°
Positions (direct):
Cr  0.0000  0.0000  0.0000
Pb  0.5000  0.5000  0.5000
S  0.0000  0.5000  0.5000
S  0.5000  0.0000  0.5000
N  0.5000  0.5000  0.0000

Computed properties:
E above lowest polymorph: 1804 meV per atom
Space-group type: P4/mmm, No. 123
D(E_F): 5.089 states/eV/f.u.

=====

Entry 12:
Compound: MgTcIr2
Source: the Alexandria database
Functional: PBE
Structure: relaxed

Cell: 5.1805 5.1805 5.1805 Å, 147.03 127.58 63.33°
Positions (direct):
Mg  0.0000  0.0000  0.0000
Tc  0.5000  0.5000  0.0000
Ir  0.2462  0.7462  0.5000
Ir  0.7538  0.2538  0.5000

Computed properties:
Space-group type: Immm, No. 71
ΔH_f (0 K): 0.063 eV/atom
D(E_F): 4.149 states/eV/f.u.

=====

Copy entry 7 word for word.
Compound: Sn2Pd7Pb2
Source: the Alexandria database
Functional: PBE
Structure: relaxed

Cell: 6.4322 6.4322 5.7153 Å, 90.00 90.00 94.99°
Positions (direct):
Sn  0.2230  0.7770  0.0000
Sn  0.7770  0.2230  0.0000
Pd  0.0000  0.0000  0.2687
Pd  0.0000  0.0000  0.7313
Pd  0.0000  0.5000  0.2557
Pd  0.0000  0.5000  0.7443
Pd  0.5000  0.0000  0.2557
Pd  0.5000  0.0000  0.7443
Pd  0.5000  0.5000  0.0000
Pb  0.3058  0.3058  0.5000
Pb  0.6942  0.6942  0.5000

Computed properties:
Space-group type: Cmmm, No. 65
ΔH_f (0 K): -0.174 eV/atom
D(E_F): 4.970 states/eV/f.u.